No. 1
First-principles (SCAN) data for LaMoI2N at its PBEsol-relaxed geometry, as listed in Alexandria via LeMat-Bulk.

Output
Final energy = -32.40 eV per atom

Unit cell a=5.564 b=5.564 c=3.849 alpha=90.00 beta=90.00 gamma=90.00
Space group P4/mmm (No. 123)
Asymmetric unit:
La 0.000 0.000 0.000 x1
Mo 0.500 0.500 0.500 x1
I 0.000 0.500 0.500 x2
N 0.500 0.500 0.000 x1

=====

No. 2
First-principles (SCAN) data for InCoTeI2 at its PBEsol-relaxed geometry, as listed in Alexandria via LeMat-Bulk.

Output
Final energy = -31.50 eV per atom

Unit cell a=5.894 b=5.894 c=6.171 alpha=90.00 beta=90.00 gamma=90.00
Space group P4/mmm (No. 123)
Asymmetric unit:
In 0.000 0.000 0.000 x1
Co 0.500 0.500 0.000 x1
Te 0.000 0.000 0.500 x1
I 0.000 0.500 0.500 x2

=====

No. 3
First-principles (SCAN) data for MnTeRh2 at its PBEsol-relaxed geometry, as listed in Alexandria via LeMat-Bulk.

Output
Final energy = -31.03 eV per atom

Unit cell a=3.093 b=3.492 c=5.732 alpha=90.00 beta=90.00 gamma=90.00
Space group Pmmm (No. 47)
Asymmetric unit:
Mn 0.000 0.000 0.000 x1
Te 0.000 0.000 0.500 x1
Rh 0.500 0.500 0.239 x2